Here is SrAgHg2 after structural relaxation from Alexandria via LeMat-Bulk. Energies are from PBE-GGA.

Cell lengths 5.7186, 5.7186, 5.7186 Å; angles 132.73, 127.39, 73.40 degrees
Element x y z (fractional)
Sr (0.0000, 0.0000, 0.0000)
Ag (0.2628, 0.7628, 0.5000)
Hg (0.4873, 0.4873, 0.0000)
Hg (0.7370, 0.2370, 0.5000)

E_form: -0.281 eV per atom
DOS(E_F): 2.01 states/eV/cell
Electronic total energy: -1.5656 eV/atom
SG: Imm2 (44)